Record 1
First-principles (PBE) data for crystalline La4TbPmHo2 at its relaxed geometry, as listed in Alexandria via LeMat-Bulk.

Summary:
E_tot = -38.099 eV per formula unit
density of states at the Fermi level = 1.392 states/eV/atom
formation enthalpy at 0 K = 0.018 eV per atom

```
data_La4TbPmHo2
_space_group_name_H-M_alt 'P m m m'
_space_group_IT_number 47
_cell_length_a 5.217
_cell_length_b 5.253
_cell_length_c 10.064
_cell_angle_alpha 90.00
_cell_angle_beta 90.00
_cell_angle_gamma 90.00
loop_
_space_group_symop_operation_xyz
'x,y,z'
'-x,-y,-z'
'-x,-y,z'
'x,y,-z'
'x,-y,-z'
'-x,y,z'
'-x,y,-z'
'x,-y,z'
loop_
_atom_site_label
_atom_site_fract_x
_atom_site_fract_y
_atom_site_fract_z
_atom_site_occupancy
La1 0.000 0.000 0.248 1
La2 0.500 0.500 0.249 1
Tb1 0.000 0.500 0.000 1
Pm1 0.500 0.000 0.500 1
Ho1 0.000 0.500 0.500 1
Ho2 0.500 0.000 0.000 1
```


Record 2
First-principles (PBE) data for crystalline La2TbPm6Ho3 at its relaxed geometry, as listed in Alexandria via LeMat-Bulk.

Summary:
E_tot = -56.482 eV per formula unit
density of states at the Fermi level = 1.458 states/eV/atom
formation enthalpy at 0 K = 0.020 eV per atom

```
data_La2TbPm6Ho3
_space_group_name_H-M_alt 'C 1 2/m 1'
_space_group_IT_number 12
_cell_length_a 6.292
_cell_length_b 10.902
_cell_length_c 12.015
_cell_angle_alpha 90.00
_cell_angle_beta 100.08
_cell_angle_gamma 90.00
loop_
_space_group_symop_operation_xyz
'x,y,z'
'-x,-y,-z'
'-x,y,-z'
'x,-y,z'
'x+1/2,y+1/2,z'
'-x+1/2,-y+1/2,-z'
'-x+1/2,y+1/2,-z'
'x+1/2,-y+1/2,z'
loop_
_atom_site_label
_atom_site_fract_x
_atom_site_fract_y
_atom_site_fract_z
_atom_site_occupancy
La1 0.000 0.167 0.000 1
Tb1 0.000 0.500 0.000 1
Pm1 0.247 0.500 0.745 1
Pm2 0.249 0.166 0.745 1
Ho1 0.000 0.000 0.500 1
Ho2 0.000 0.334 0.500 1
```


Record 3
First-principles (PBE) data for crystalline La6TbPm2Ho at its relaxed geometry, as listed in Alexandria via LeMat-Bulk.

Summary:
E_tot = -48.059 eV per formula unit
density of states at the Fermi level = 1.777 states/eV/atom
formation enthalpy at 0 K = 0.021 eV per atom

```
data_La6TbPm2Ho
_space_group_name_H-M_alt 'C 1 2/c 1'
_space_group_IT_number 15
_cell_length_a 16.399
_cell_length_b 10.463
_cell_length_c 11.583
_cell_angle_alpha 90.00
_cell_angle_beta 134.68
_cell_angle_gamma 90.00
loop_
_space_group_symop_operation_xyz
'x,y,z'
'-x,-y,-z'
'-x,y,-z+1/2'
'x,-y,z+1/2'
'x+1/2,y+1/2,z'
'-x+1/2,-y+1/2,-z'
'-x+1/2,y+1/2,-z+1/2'
'x+1/2,-y+1/2,z+1/2'
loop_
_atom_site_label
_atom_site_fract_x
_atom_site_fract_y
_atom_site_fract_z
_atom_site_occupancy
La1 0.099 0.125 0.148 1
La2 0.099 0.375 0.649 1
La3 0.201 0.125 0.551 1
Tb1 0.000 0.126 0.750 1
Pm1 0.201 0.375 0.049 1
Ho1 0.000 0.376 0.250 1
```


Record 4
First-principles (PBE) data for crystalline LaTb6Pm3Ho2 at its relaxed geometry, as listed in Alexandria via LeMat-Bulk.

Summary:
E_tot = -55.909 eV per formula unit
density of states at the Fermi level = 1.303 states/eV/atom
formation enthalpy at 0 K = 0.017 eV per atom

```
data_LaTb6Pm3Ho2
_space_group_name_H-M_alt 'C 1 2/m 1'
_space_group_IT_number 12
_cell_length_a 6.227
_cell_length_b 10.782
_cell_length_c 11.914
_cell_angle_alpha 90.00
_cell_angle_beta 100.00
_cell_angle_gamma 90.00
loop_
_space_group_symop_operation_xyz
'x,y,z'
'-x,-y,-z'
'-x,y,-z'
'x,-y,z'
'x+1/2,y+1/2,z'
'-x+1/2,-y+1/2,-z'
'-x+1/2,y+1/2,-z'
'x+1/2,-y+1/2,z'
loop_
_atom_site_label
_atom_site_fract_x
_atom_site_fract_y
_atom_site_fract_z
_atom_site_occupancy
La1 0.000 0.000 0.000 1
Tb1 0.249 0.333 0.751 1
Tb2 0.249 0.500 0.249 1
Pm1 0.000 0.167 0.500 1
Pm2 0.000 0.500 0.500 1
Ho1 0.000 0.333 0.000 1
```


Record 5
First-principles (PBE) data for crystalline La4Tb2PmHo at its relaxed geometry, as listed in Alexandria via LeMat-Bulk.

Summary:
E_tot = -38.156 eV per formula unit
density of states at the Fermi level = 1.385 states/eV/atom
formation enthalpy at 0 K = 0.018 eV per atom

```
data_La4Tb2PmHo
_space_group_name_H-M_alt 'P m m m'
_space_group_IT_number 47
_cell_length_a 5.219
_cell_length_b 5.256
_cell_length_c 10.096
_cell_angle_alpha 90.00
_cell_angle_beta 90.00
_cell_angle_gamma 90.00
loop_
_space_group_symop_operation_xyz
'x,y,z'
'-x,-y,-z'
'-x,-y,z'
'x,y,-z'
'x,-y,-z'
'-x,y,z'
'-x,y,-z'
'x,-y,z'
loop_
_atom_site_label
_atom_site_fract_x
_atom_site_fract_y
_atom_site_fract_z
_atom_site_occupancy
La1 0.000 0.000 0.248 1
La2 0.500 0.500 0.248 1
Tb1 0.000 0.500 0.000 1
Tb2 0.500 0.000 0.500 1
Pm1 0.000 0.500 0.500 1
Ho1 0.500 0.000 0.000 1
```


Record 6
First-principles (PBE) data for crystalline La2Tb2PmHo2 at its relaxed geometry, as listed in Alexandria via LeMat-Bulk.

Summary:
E_tot = -32.823 eV per formula unit
density of states at the Fermi level = 1.619 states/eV/atom
formation enthalpy at 0 K = 0.028 eV per atom

```
data_La2Tb2PmHo2
_space_group_name_H-M_alt 'C 1 2/m 1'
_space_group_IT_number 12
_cell_length_a 11.447
_cell_length_b 5.115
_cell_length_c 8.107
_cell_angle_alpha 90.00
_cell_angle_beta 98.16
_cell_angle_gamma 90.00
loop_
_space_group_symop_operation_xyz
'x,y,z'
'-x,-y,-z'
'-x,y,-z'
'x,-y,z'
'x+1/2,y+1/2,z'
'-x+1/2,-y+1/2,-z'
'-x+1/2,y+1/2,-z'
'x+1/2,-y+1/2,z'
loop_
_atom_site_label
_atom_site_fract_x
_atom_site_fract_y
_atom_site_fract_z
_atom_site_occupancy
La1 0.143 0.000 0.427 1
Tb1 0.071 0.500 0.719 1
Pm1 0.000 0.000 0.000 1
Ho1 0.216 0.500 0.139 1
```


Record 7
First-principles (PBE) data for crystalline La4TbPm2Ho at its relaxed geometry, as listed in Alexandria via LeMat-Bulk.

Summary:
E_tot = -38.289 eV per formula unit
density of states at the Fermi level = 1.464 states/eV/atom
formation enthalpy at 0 K = 0.016 eV per atom

```
data_La4TbPm2Ho
_space_group_name_H-M_alt 'P 1 2/m 1'
_space_group_IT_number 10
_cell_length_a 5.221
_cell_length_b 5.260
_cell_length_c 10.171
_cell_angle_alpha 90.00
_cell_angle_beta 90.06
_cell_angle_gamma 90.00
loop_
_space_group_symop_operation_xyz
'x,y,z'
'-x,-y,-z'
'-x,y,-z'
'x,-y,z'
loop_
_atom_site_label
_atom_site_fract_x
_atom_site_fract_y
_atom_site_fract_z
_atom_site_occupancy
La1 0.000 0.000 0.249 1
La2 0.500 0.500 0.250 1
Tb1 0.000 0.500 0.500 1
Pm1 0.000 0.500 0.000 1
Pm2 0.500 0.000 0.500 1
Ho1 0.500 0.000 0.000 1
```


Record 8
First-principles (PBE) data for crystalline LaTbPmHo3 at its relaxed geometry, as listed in Alexandria via LeMat-Bulk.

Summary:
E_tot = -26.885 eV per formula unit
density of states at the Fermi level = 1.597 states/eV/atom
formation enthalpy at 0 K = 0.193 eV per atom

```
data_LaTbPmHo3
_space_group_name_H-M_alt 'C 1 2/m 1'
_space_group_IT_number 12
_cell_length_a 19.895
_cell_length_b 5.639
_cell_length_c 7.085
_cell_angle_alpha 90.00
_cell_angle_beta 90.42
_cell_angle_gamma 90.00
loop_
_space_group_symop_operation_xyz
'x,y,z'
'-x,-y,-z'
'-x,y,-z'
'x,-y,z'
'x+1/2,y+1/2,z'
'-x+1/2,-y+1/2,-z'
'-x+1/2,y+1/2,-z'
'x+1/2,-y+1/2,z'
loop_
_atom_site_label
_atom_site_fract_x
_atom_site_fract_y
_atom_site_fract_z
_atom_site_occupancy
La1 0.146 0.000 0.035 1
Tb1 0.150 0.000 0.460 1
Pm1 0.054 0.500 0.265 1
Ho1 0.024 0.000 0.739 1
Ho2 0.164 0.500 0.733 1
Ho3 0.221 0.500 0.244 1
```


Record 9
First-principles (PBE) data for crystalline La2TbPmHo4 at its relaxed geometry, as listed in Alexandria via LeMat-Bulk.

Summary:
E_tot = -34.350 eV per formula unit
density of states at the Fermi level = 2.458 states/eV/atom
formation enthalpy at 0 K = 0.400 eV per atom

```
data_La2TbPmHo4
_space_group_name_H-M_alt 'I m m a'
_space_group_IT_number 74
_space_group_name_Hall '-I 2b 2'
_cell_length_a 6.817
_cell_length_b 11.896
_cell_length_c 13.288
_cell_angle_alpha 90.00
_cell_angle_beta 90.00
_cell_angle_gamma 90.00
loop_
_atom_site_label
_atom_site_fract_x
_atom_site_fract_y
_atom_site_fract_z
_atom_site_occupancy
La1 0.000 0.000 0.000 1
La2 0.250 0.250 0.250 1
Tb1 0.250 0.250 0.750 1
Pm1 0.000 0.000 0.500 1
Ho1 0.000 0.004 0.750 1
Ho2 0.248 0.250 0.503 1
```


Record 10
First-principles (PBE) data for crystalline LaTb2Pm6Ho at its relaxed geometry, as listed in Alexandria via LeMat-Bulk.

Summary:
E_tot = -46.094 eV per formula unit
density of states at the Fermi level = 1.509 states/eV/atom
formation enthalpy at 0 K = 0.118 eV per atom

```
data_LaTb2Pm6Ho
_space_group_name_H-M_alt 'C 1 2/c 1'
_space_group_IT_number 15
_cell_length_a 9.233
_cell_length_b 15.343
_cell_length_c 9.791
_cell_angle_alpha 90.00
_cell_angle_beta 98.32
_cell_angle_gamma 90.00
loop_
_space_group_symop_operation_xyz
'x,y,z'
'-x,-y,-z'
'-x,y,-z+1/2'
'x,-y,z+1/2'
'x+1/2,y+1/2,z'
'-x+1/2,-y+1/2,-z'
'-x+1/2,y+1/2,-z+1/2'
'x+1/2,-y+1/2,z+1/2'
loop_
_atom_site_label
_atom_site_fract_x
_atom_site_fract_y
_atom_site_fract_z
_atom_site_occupancy
La1 0.000 0.094 0.250 1
Tb1 0.242 0.451 0.044 1
Pm1 0.064 0.322 0.445 1
Pm2 0.100 0.107 0.621 1
Pm3 0.203 0.274 0.818 1
Ho1 0.000 0.472 0.750 1
```